1.
Material: In2I2Br
Method: DFT, GGA-PBE
State: optimized geometry

The structure in POSCAR format:
```
In2I2Br
1.0
-4.748 2.503 2.137
-4.866 -5.146 -4.781
-0.034 -6.044 6.540
Br I In
2 4 4
Direct
0.406 0.500 0.536
0.406 0.000 0.036
0.903 0.241 0.281
0.903 0.759 0.281
0.903 0.259 0.781
0.903 0.741 0.781
0.439 0.500 0.882
0.908 0.000 0.013
0.908 0.500 0.513
0.439 0.000 0.382
```

## Properties
SG: Cm, No. 8
Raw total energy (hartree per atom): -0.0940

***

2.
Material: InIBr2
Method: DFT, GGA-PBE
State: optimized geometry

The structure in POSCAR format:
```
InIBr2
1.0
-3.338 -5.466 -4.117
-5.275 -4.378 10.089
-4.507 5.585 0.067
Br In I
8 4 4
Direct
0.603 0.186 0.584
0.603 0.314 0.084
0.027 0.500 0.055
0.027 0.000 0.555
0.599 0.500 0.646
0.603 0.814 0.584
0.603 0.686 0.084
0.599 0.000 0.146
0.820 0.834 0.340
0.820 0.334 0.840
0.820 0.166 0.340
0.820 0.666 0.840
0.056 0.332 0.581
0.056 0.668 0.581
0.056 0.832 0.081
0.056 0.168 0.081
```

## Properties
SG: Cm, No. 8
Raw total energy (hartree per atom): -0.0958

***

3.
Material: InIBr2
Method: DFT, GGA-PBE
State: optimized geometry

The structure in POSCAR format:
```
InIBr2
1.0
9.717 0.000 0.000
0.000 9.717 0.000
4.858 4.858 3.034
I Br In
2 4 2
Direct
0.750 0.250 0.500
0.000 0.000 0.000
0.375 0.502 0.750
0.498 0.125 0.250
0.875 0.748 0.750
0.252 0.625 0.250
0.250 0.750 0.500
0.500 0.500 0.000
```

## Properties
SG: I-42d, No. 122
Raw total energy (hartree per atom): -0.0839

***

4.
Material: In2I3Br
Method: DFT, GGA-PBE
State: optimized geometry

The structure in POSCAR format:
```
In2I3Br
1.0
17.483 0.000 -5.683
0.000 11.017 0.000
-2.762 0.000 7.034
In I Br
8 12 4
Direct
0.356 0.114 0.787
0.398 0.780 0.342
0.856 0.386 0.287
0.898 0.720 0.842
0.644 0.886 0.213
0.144 0.614 0.713
0.102 0.280 0.158
0.602 0.220 0.658
0.606 0.193 0.299
0.244 0.411 0.541
0.640 0.459 0.802
0.106 0.307 0.799
0.140 0.041 0.302
0.860 0.959 0.698
0.894 0.693 0.201
0.360 0.541 0.198
0.394 0.807 0.701
0.256 0.911 0.959
0.744 0.089 0.041
0.756 0.589 0.459
0.563 0.838 0.492
0.063 0.662 0.992
0.437 0.162 0.508
0.937 0.338 0.008
```

## Properties
SG: P2_1/c, No. 14
Raw total energy (hartree per atom): -0.0929

***

5.
Material: InIBr2
Method: DFT, GGA-PBE
State: optimized geometry

The structure in POSCAR format:
```
InIBr2
1.0
-0.221 -0.044 -4.297
-1.480 -6.338 0.142
-13.170 3.095 0.856
In I Br
2 2 4
Direct
0.000 0.909 0.000
0.000 0.409 0.500
0.500 0.618 0.000
0.500 0.118 0.500
0.994 0.110 0.844
0.006 0.610 0.656
0.994 0.610 0.344
0.006 0.110 0.156
```

## Properties
SG: C2, No. 5
Raw total energy (hartree per atom): -0.0943

***

6.
Material: InIBr
Method: DFT, GGA-PBE
State: optimized geometry

The structure in POSCAR format:
```
InIBr
1.0
-2.311 2.668 5.923
-4.905 -1.933 -4.635
3.439 -6.031 3.072
Br In I
2 2 2
Direct
0.805 0.828 0.768
0.175 0.511 0.815
0.185 0.132 0.763
0.666 0.874 0.160
0.560 0.311 0.079
0.208 0.919 0.390
```

## Properties
SG: P1, No. 1
Raw total energy (hartree per atom): -0.0960